{
  "formula": "Ir2Pt2Se",
  "functional": "GGA-PBE",
  "state": "relaxed",
  "total_energy_ev_per_atom": -6.15,
  "raw_formation_energy_ev_per_atom": 0.51,
  "lattice": [[-1.855, 1.855, 6.345], [1.855, -1.855, 6.345], [1.855, 1.855, -6.345]],
  "species": ["Se", "Pt", "Ir", "Ir", "Pt"],
  "frac_coords": [[0.000, 0.000, 0.000], [0.750, 0.250, 0.500], [0.403, 0.403, 0.000], [0.597, 0.597, 0.000], [0.250, 0.750, 0.500]]
}